Entry 1:
# PBE SrErMnS4, relaxed
data_SrErMnS4
_chemical_formula_sum 'Sr2 Er2 Mn2 S8'
_symmetry_space_group_name_H-M 'P 1'
_symmetry_Int_Tables_number 1
_symmetry_space_group_name_Hall 'P 1'
_cell_length_a 6.558
_cell_length_b 6.184
_cell_length_c 8.177
_cell_angle_alpha 90.00
_cell_angle_beta 107.42
_cell_angle_gamma 90.00
loop_
_atom_site_label
_atom_site_fract_x
_atom_site_fract_y
_atom_site_fract_z
S1 0.012 0.992 0.726
S2 0.012 0.508 0.726
S3 0.559 0.250 0.405
S4 0.567 0.250 0.864
S5 0.988 0.492 0.274
S6 0.441 0.750 0.595
S7 0.433 0.750 0.136
S8 0.988 0.008 0.274
Sr1 0.742 0.750 0.940
Sr2 0.258 0.250 0.060
Mn1 0.237 0.750 0.321
Mn2 0.763 0.250 0.679
Er1 0.240 0.250 0.559
Er2 0.760 0.750 0.441
# - DOS at the Fermi energy (states/eV/cell) = 4.106
# - formation energy from raw total energies (eV/atom) = -1.48
# - calculated density (g/cm³) = 4.6

=====

Entry 2:
# PBE PrY3Ho4, relaxed
data_PrY3Ho4
_chemical_formula_sum 'Pr2 Y6 Ho8'
_symmetry_space_group_name_H-M 'P 1'
_symmetry_Int_Tables_number 1
_symmetry_space_group_name_Hall 'P 1'
_cell_length_a 6.297
_cell_length_b 7.303
_cell_length_c 11.314
_cell_angle_alpha 90.00
_cell_angle_beta 90.00
_cell_angle_gamma 90.00
loop_
_atom_site_label
_atom_site_fract_x
_atom_site_fract_y
_atom_site_fract_z
Ho1 0.650 0.122 0.000
Ho2 0.150 0.878 0.500
Ho3 0.981 0.122 0.252
Ho4 0.149 0.878 0.000
Ho5 0.481 0.878 0.752
Ho6 0.649 0.122 0.500
Ho7 0.981 0.122 0.748
Ho8 0.481 0.878 0.248
Pr1 0.645 0.628 0.500
Pr2 0.145 0.372 0.000
Y1 0.482 0.373 0.250
Y2 0.645 0.628 0.000
Y3 0.145 0.372 0.500
Y4 0.982 0.627 0.750
Y5 0.982 0.627 0.250
Y6 0.482 0.373 0.750
# - distance to the lowest polymorph of the same formula (meV/atom) = 0
# - DOS at the Fermi energy (states/eV/cell) = 26.731
# - calculated density (g/cm³) = 6.8
# - DFT formation energy (eV/atom) = 0.008

=====

Entry 3:
# PBE Y2CdCu2Pt5, relaxed
data_Y2CdCu2Pt5
_chemical_formula_sum 'Y4 Cd2 Cu4 Pt10'
_symmetry_space_group_name_H-M 'P 1'
_symmetry_Int_Tables_number 1
_symmetry_space_group_name_Hall 'P 1'
_cell_length_a 3.969
_cell_length_b 9.402
_cell_length_c 9.402
_cell_angle_alpha 90.00
_cell_angle_beta 90.00
_cell_angle_gamma 90.00
loop_
_atom_site_label
_atom_site_fract_x
_atom_site_fract_y
_atom_site_fract_z
Pt1 0.500 0.000 0.500
Pt2 0.500 0.928 0.209
Pt3 0.500 0.072 0.791
Pt4 0.500 0.709 0.428
Pt5 0.500 0.791 0.928
Pt6 0.500 0.500 0.000
Pt7 0.500 0.209 0.072
Pt8 0.500 0.291 0.572
Pt9 0.500 0.572 0.709
Pt10 0.500 0.428 0.291
Cu1 0.000 0.379 0.121
Cu2 0.000 0.879 0.379
Cu3 0.000 0.121 0.621
Cu4 0.000 0.621 0.879
Cd1 0.000 0.000 0.000
Cd2 0.000 0.500 0.500
Y1 0.000 0.324 0.824
Y2 0.000 0.176 0.324
Y3 0.000 0.824 0.676
Y4 0.000 0.676 0.176
# - DOS at the Fermi energy (states/eV/cell) = 7.213
# - calculated density (g/cm³) = 13.2
# - DFT formation energy (eV/atom) = -0.765

=====

Entry 4:
# PBE Cu5Ni24, relaxed
data_Cu5Ni24
_chemical_formula_sum 'Cu5 Ni24'
_symmetry_space_group_name_H-M 'P 1'
_symmetry_Int_Tables_number 1
_symmetry_space_group_name_Hall 'P 1'
_cell_length_a 7.509
_cell_length_b 7.509
_cell_length_c 7.509
_cell_angle_alpha 109.47
_cell_angle_beta 109.47
_cell_angle_gamma 109.47
loop_
_atom_site_label
_atom_site_fract_x
_atom_site_fract_y
_atom_site_fract_z
Ni1 0.624 0.624 0.814
Ni2 0.190 0.376 0.000
Ni3 0.406 0.682 0.000
Ni4 0.810 0.810 0.186
Ni5 0.724 0.318 0.318
Ni6 0.186 0.810 0.810
Ni7 0.000 0.190 0.376
Ni8 0.318 0.724 0.318
Ni9 0.000 0.376 0.190
Ni10 0.190 0.000 0.376
Ni11 0.406 0.000 0.682
Ni12 0.810 0.186 0.810
Ni13 0.376 0.190 0.000
Ni14 0.000 0.406 0.682
Ni15 0.000 0.682 0.406
Ni16 0.276 0.594 0.594
Ni17 0.594 0.276 0.594
Ni18 0.376 0.000 0.190
Ni19 0.682 0.406 0.000
Ni20 0.624 0.814 0.624
Ni21 0.318 0.318 0.724
Ni22 0.682 0.000 0.406
Ni23 0.814 0.624 0.624
Ni24 0.594 0.594 0.276
Cu1 0.356 0.356 0.356
Cu2 0.000 0.000 0.644
Cu3 0.000 0.000 0.000
Cu4 0.000 0.644 0.000
Cu5 0.644 0.000 0.000
# - DOS at the Fermi energy (states/eV/cell) = 53.224
# - calculated density (g/cm³) = 8.8
# - DFT formation energy (eV/atom) = 0.091